A plane-wave DFT calculation with GGA-PBE was carried out for a geometry-optimized Mg4Se3S structure.

Cell and atoms, written as extended XYZ:
```
16
Lattice="-4.5302 2.8815 4.1014 -0.8934 -6.3451 3.4709 6.1625 2.0630 5.3575" Properties=species:S:1:pos:R:3 pbc="T T T"
Mg -1.2986 -5.0230 3.4279
Mg -3.0436 0.7618 3.2076
Mg 0.6617 -1.2412 2.9313
Mg -1.8205 -1.9438 6.2482
Mg 1.7129 -3.8374 6.1276
Mg 0.1358 1.8406 5.7552
Mg 1.1719 -0.9421 8.8496
Mg 3.8319 -0.1799 5.6874
S -0.1729 -1.0563 0.6056
S 0.0513 -2.7884 7.6349
Se -3.0346 -3.8564 4.9756
Se 0.9192 -3.7120 3.6717
Se -1.0360 -0.1358 4.5644
Se 2.9140 0.0112 3.2641
Se 2.0356 0.8925 7.2347
Se 4.0102 -2.6773 6.3588
```

distance to the lowest polymorph of the same formula	0.000	eV/atom
SG	No. 31